{
  "formula": "Zr2ScRu",
  "functional": "meta-GGA SCAN",
  "state": "single point on PBEsol structure",
  "dft_energy_ev_per_atom": -27.705,
  "e_form_ev_per_atom": -0.090,
  "de_polymorph_kj_per_mol_atoms": 31.0,
  "lattice_angstrom": [[3.902, 0.000, 0.000], [0.000, 3.902, 0.000], [-1.951, -1.951, 4.962]],
  "species": ["Zr", "Zr", "Ru", "Sc"],
  "fractional_positions": [[0.000, 0.000, 0.000], [0.750, 0.250, 0.500], [0.500, 0.500, 0.000], [0.250, 0.750, 0.500]]
}

***

{
  "formula": "Zr2ScRu",
  "functional": "meta-GGA SCAN",
  "state": "single point on PBEsol structure",
  "dft_energy_ev_per_atom": -28.026,
  "e_form_ev_per_atom": -0.411,
  "de_polymorph_kj_per_mol_atoms": 0.0,
  "lattice_angstrom": [[3.305, 0.000, 0.000], [0.000, 4.861, 0.000], [-1.653, -2.431, 4.868]],
  "species": ["Zr", "Zr", "Sc", "Ru"],
  "fractional_positions": [[0.214, 0.214, 0.427], [0.786, 0.786, 0.573], [0.000, 0.500, 0.000], [0.500, 0.000, 0.000]]
}